{"formula": "PrPtO3", "functional": "GGA-PBE", "state": "relaxed", "spacegroup": "R-3c, No. 167", "lattice_angstrom": [[2.9575, 1.7075, 4.2611], [-2.9575, 1.7075, 4.2611], [0.0000, -3.4150, 4.2611]], "species": ["Pr", "Pr", "Pt", "Pt", "O", "O", "O", "O", "O", "O"], "frac_coords": [[0.2500, 0.2500, 0.2500], [0.7500, 0.7500, 0.7500], [0.0000, 0.0000, 0.0000], [0.5000, 0.5000, 0.5000], [0.1469, 0.7500, 0.3531], [0.2500, 0.6469, 0.8531], [0.3531, 0.1469, 0.7500], [0.6469, 0.8531, 0.2500], [0.7500, 0.3531, 0.1469], [0.8531, 0.2500, 0.6469]]}

{"formula": "PrPtO3", "functional": "GGA-PBE", "state": "relaxed", "spacegroup": "P4mm, No. 99", "lattice_angstrom": [[3.9723, 0.0000, 0.0000], [0.0000, 3.9723, 0.0000], [0.0000, 0.0000, 4.3315]], "species": ["Pr", "Pt", "O", "O", "O"], "frac_coords": [[0.0000, 0.0000, 0.0000], [0.5000, 0.5000, 0.5718], [0.0000, 0.5000, 0.6545], [0.5000, 0.0000, 0.6545], [0.5000, 0.5000, 0.0777]]}

{"formula": "PrPtO3", "functional": "GGA-PBE", "state": "relaxed", "spacegroup": "R-3, No. 148", "lattice_angstrom": [[2.9220, 1.6870, 4.8154], [-2.9220, 1.6870, 4.8154], [0.0000, -3.3740, 4.8154]], "species": ["Pr", "Pr", "Pt", "Pt", "O", "O", "O", "O", "O", "O"], "frac_coords": [[0.1307, 0.1307, 0.1307], [0.8693, 0.8693, 0.8693], [0.3443, 0.3443, 0.3443], [0.6557, 0.6557, 0.6557], [0.0520, 0.4579, 0.7164], [0.2836, 0.9480, 0.5421], [0.4579, 0.7164, 0.0520], [0.5421, 0.2836, 0.9480], [0.7164, 0.0520, 0.4579], [0.9480, 0.5421, 0.2836]]}

{"formula": "Pr2Pt2O5", "functional": "GGA-PBE", "state": "relaxed", "spacegroup": "P4/mmm, No. 123", "polymorph_energy_mev_per_atom": 380, "lattice_angstrom": [[3.7854, 0.0000, 0.0000], [0.0000, 3.7854, 0.0000], [0.0000, 0.0000, 9.6041]], "species": ["Pr", "Pr", "Pt", "Pt", "O", "O", "O", "O", "O"], "frac_coords": [[0.0000, 0.0000, 0.2385], [0.0000, 0.0000, 0.7615], [0.5000, 0.5000, 0.0000], [0.5000, 0.5000, 0.5000], [0.0000, 0.0000, 0.0000], [0.0000, 0.5000, 0.3757], [0.0000, 0.5000, 0.6243], [0.5000, 0.0000, 0.3757], [0.5000, 0.0000, 0.6243]]}

Let's list VASP energy in order: -6.8786, -6.7043, -6.7006, -6.4276 eV/atom.